Entry 1:
Compound: TaNbCr2
Source: Alexandria via LeMat-Bulk
Functional: PBE
Structure: optimized geometry

## Properties
Formation energy from the elements: -0.0030 eV per atom
Excess energy over the best structure of this formula in the dataset: 0 meV per atom
Size of the total moment: 0.000 μB/atom

Cell lengths 3.1005, 3.1005, 6.2028 Å; angles 90.00, 90.00, 90.00 degrees
Closest atoms and distances in Å follow each position.
Space group P4/mmm (No. 123)
Symmetry-distinct sites (fractional):
1 Ta 0.0000 0.0000 0.0000 [1 per cell]  8 Cr 2.68
2 Nb 0.0000 0.0000 0.5000 [1 per cell]  8 Cr 2.69
3 Cr 0.5000 0.5000 0.2498 [2 per cell]  4 Ta 2.68, 4 Nb 2.69


Entry 2:
Compound: RbScN2
Source: Alexandria via LeMat-Bulk
Functional: PBE
Structure: optimized geometry

## Properties
Excess energy over the best structure of this formula in the dataset: 928 meV per atom
Formation energy without anion corrections: 0.90 eV per atom
Size of the total moment: 0.500 μB/atom

Cell lengths 6.1943, 6.1943, 6.1943 Å; angles 90.00, 90.00, 90.00 degrees
Closest atoms and distances in Å follow each position.
Space group Fm-3m (No. 225)
Symmetry-distinct sites (fractional):
1 Rb 0.0000 0.0000 0.0000 [4 per cell]  8 N 2.68
2 Sc 0.0000 0.0000 0.5000 [4 per cell]  8 N 2.68
3 N 0.2500 0.2500 0.2500 [8 per cell]  4 Rb 2.68, 4 Sc 2.68


Entry 3:
Compound: RbLiPb3
Source: Alexandria via LeMat-Bulk
Functional: PBE
Structure: optimized geometry

## Properties
Formation energy from the elements: -0.1659 eV per atom
Excess energy over the best structure of this formula in the dataset: 0 meV per atom
Size of the total moment: 0.000 μB/atom

Cell lengths 5.0225, 5.0369, 13.1081 Å; angles 90.00, 90.00, 90.00 degrees
Closest atoms and distances in Å follow each position.
Space group Imm2 (No. 44)
Symmetry-distinct sites (fractional):
1 Rb 0.0000 0.0000 0.0000 [2 per cell]  12 Pb 3.80-4.18, 4 Li 3.90
2 Li 0.0000 0.0000 0.6212 [2 per cell]  5 Pb 2.93-3.00
3 Pb 0.0000 0.0000 0.3973 [2 per cell]  1 Li 2.93, 4 Pb 3.21
4 Pb 0.0000 0.5000 0.2458 [2 per cell]  2 Li 3.00, 2 Pb 3.21
5 Pb 0.0000 0.5000 0.7453 [2 per cell]  2 Li 3.00, 2 Pb 3.21


Entry 4:
Compound: TbSm4Tm6
Source: Alexandria via LeMat-Bulk
Functional: PBE
Structure: optimized geometry

## Properties
Formation energy from the elements: 0.4694 eV per atom
Excess energy over the best structure of this formula in the dataset: 165 meV per atom
Size of the total moment: 0.000 μB/atom

Cell lengths 7.6559, 7.6559, 12.9547 Å; angles 90.00, 90.00, 90.00 degrees
Closest atoms and distances in Å follow each position.
Space group I-42m (No. 121)
Symmetry-distinct sites (fractional):
1 Tb 0.0000 0.0000 0.0000 [2 per cell]  8 Tm 3.56-3.83, 4 Sm 3.67
2 Sm 0.1736 0.1736 0.4242 [8 per cell]  3 Tm 3.00-3.23, 2 Sm 3.31
3 Tm 0.0000 0.5000 0.0000 [4 per cell]  4 Sm 3.00
4 Tm 0.2466 0.2466 0.1823 [8 per cell]  4 Sm 3.23-3.60, 1 Tb 3.56, 2 Tm 3.59


Entry 5:
Compound: Sm6Ge2TeP3
Source: Alexandria via LeMat-Bulk
Functional: PBE
Structure: optimized geometry

## Properties
Formation energy without anion corrections: -1.28 eV per atom
Size of the total moment: 0.000 μB/atom

Cell lengths 18.4567, 4.1328, 8.5608 Å; angles 90.00, 104.58, 90.00 degrees
Closest atoms and distances in Å follow each position.
Space group C2/m (No. 12)
Symmetry-distinct sites (fractional):
1 Sm 0.0014 0.0000 0.2296 [4 per cell]  3 P 2.85-2.91, 1 Ge 3.02, 2 Te 3.11
2 Sm 0.1647 0.5000 0.0924 [4 per cell]  3 P 2.92-2.94, 3 Ge 3.01-3.03
3 Sm 0.1736 0.5000 0.5793 [4 per cell]  3 P 2.90-2.92, 2 Ge 3.03, 1 Te 3.10
4 Ge 0.1671 0.0000 0.8347 [4 per cell]  6 Sm 3.01-3.03
5 Te 0.0000 0.5000 0.5000 [2 per cell]  6 Sm 3.10-3.11
6 P 0.0000 0.5000 0.0000 [2 per cell]  6 Sm 2.85-2.94
7 P 0.1642 0.0000 0.3338 [4 per cell]  6 Sm 2.90-2.92


Entry 6:
Compound: NaSrAs2Br
Source: Alexandria via LeMat-Bulk
Functional: PBE
Structure: optimized geometry

## Properties
Excess energy over the best structure of this formula in the dataset: 120 meV per atom
Formation energy without anion corrections: -0.07 eV per atom
Size of the total moment: 0.411 μB/atom

Cell lengths 5.9654, 5.9654, 5.9361 Å; angles 90.00, 90.00, 90.00 degrees
Closest atoms and distances in Å follow each position.
Space group P4/mmm (No. 123)
Symmetry-distinct sites (fractional):
1 Na 0.0000 0.0000 0.0000 [1 per cell]  8 As 4.21, 4 Br 4.22
2 Sr 0.5000 0.5000 0.5000 [1 per cell]  2 Br 2.97, 4 As 2.98
3 As 0.0000 0.5000 0.5000 [2 per cell]  2 Sr 2.98
4 Br 0.5000 0.5000 0.0000 [1 per cell]  2 Sr 2.97


Entry 7:
Compound: SmDyY2Sc4
Source: Alexandria via LeMat-Bulk
Functional: PBE
Structure: optimized geometry

## Properties
Formation energy from the elements: 0.0562 eV per atom
Size of the total moment: 0.000 μB/atom

Cell lengths 4.9256, 4.9256, 9.3153 Å; angles 90.00, 90.00, 90.00 degrees
Closest atoms and distances in Å follow each position.
Space group P4/mmm (No. 123)
Symmetry-distinct sites (fractional):
1 Sm 0.0000 0.0000 0.0000 [1 per cell]  8 Sc 3.40, 4 Y 3.48
2 Dy 0.5000 0.5000 0.5000 [1 per cell]  8 Sc 3.38, 4 Y 3.48
3 Y 0.0000 0.0000 0.5000 [1 per cell]  8 Sc 3.38, 4 Dy 3.48
4 Y 0.5000 0.5000 0.0000 [1 per cell]  8 Sc 3.40, 4 Sm 3.48
5 Sc 0.0000 0.5000 0.2511 [4 per cell]  2 Dy 3.38, 4 Y 3.38-3.40, 2 Sm 3.40, 4 Sc 3.48


Entry 8:
Compound: La2ZnSbIr
Source: Alexandria via LeMat-Bulk
Functional: PBE
Structure: optimized geometry

## Properties
Formation energy without anion corrections: -0.71 eV per atom
Size of the total moment: 0.000 μB/atom

Cell lengths 5.5137, 5.5137, 4.8448 Å; angles 90.00, 90.00, 90.00 degrees
Closest atoms and distances in Å follow each position.
Space group P4/mmm (No. 123)
Symmetry-distinct sites (fractional):
1 La 0.0000 0.5000 0.0000 [2 per cell]  2 Ir 2.76
2 Zn 0.0000 0.0000 0.5000 [1 per cell]  2 Ir 2.42
3 Sb 0.5000 0.5000 0.5000 [1 per cell]  8 La 3.67, 4 Zn 3.90
4 Ir 0.0000 0.0000 0.0000 [1 per cell]  2 Zn 2.42


Entry 9:
Compound: La6TmZn2
Source: Alexandria via LeMat-Bulk
Functional: PBE
Structure: optimized geometry

## Properties
Formation energy from the elements: -0.1355 eV per atom
Size of the total moment: 0.000 μB/atom

Cell lengths 13.0122, 3.7781, 12.1762 Å; angles 90.00, 109.31, 90.00 degrees
Closest atoms and distances in Å follow each position.
Space group C2/m (No. 12)
Symmetry-distinct sites (fractional):
1 La 0.0297 0.0000 0.3257 [4 per cell]  2 Zn 3.19, 1 La 3.43
2 La 0.1873 0.5000 0.8764 [4 per cell]  2 Zn 3.22, 3 La 3.42-3.47
3 La 0.1921 0.5000 0.5970 [4 per cell]  2 Zn 3.41, 8 La 3.42-3.79
4 Tm 0.0000 0.0000 0.0000 [2 per cell]  4 Zn 3.03
5 Zn 0.1390 0.5000 0.1847 [4 per cell]  2 Tm 3.03, 4 La 3.19-3.22


Entry 10:
Compound: Cr3BiPd
Source: Alexandria via LeMat-Bulk
Functional: PBE
Structure: optimized geometry

## Properties
Formation energy from the elements: 0.9970 eV per atom
Excess energy over the best structure of this formula in the dataset: 0 meV per atom
Size of the total moment: 2.530 μB/atom

Cell lengths 4.9006, 4.9006, 4.9006 Å; angles 90.00, 90.00, 90.00 degrees
Closest atoms and distances in Å follow each position.
Space group Pm-3m (No. 221)
Symmetry-distinct sites (fractional):
1 Cr 0.0000 0.0000 0.5000 [3 per cell]  2 Pd 2.45
2 Bi 0.5000 0.5000 0.5000 [1 per cell]  12 Cr 3.47
3 Pd 0.0000 0.0000 0.0000 [1 per cell]  6 Cr 2.45


Entry 11:
Compound: ErRuO4
Source: Alexandria via LeMat-Bulk
Functional: PBE
Structure: optimized geometry

## Properties
Excess energy over the best structure of this formula in the dataset: 0 meV per atom
Formation energy without anion corrections: -2.03 eV per atom
Size of the total moment: 0.000 μB/atom

Cell lengths 7.5415, 5.2509, 7.3815 Å; angles 90.00, 99.22, 90.00 degrees
Closest atoms and distances in Å follow each position.
Space group P2_1/c (No. 14)
Symmetry-distinct sites (fractional):
1 Er 0.1463 0.2158 0.3926 [4 per cell]  6 O 2.20-2.44
2 Ru 0.3417 0.7303 0.1979 [4 per cell]  6 O 1.91-2.06
3 O 0.1110 0.5129 0.1729 [4 per cell]  1 Ru 2.06, 2 Er 2.20-2.24
4 O 0.1810 0.0077 0.1225 [4 per cell]  1 Ru 1.92
5 O 0.3327 0.6296 0.9435 [4 per cell]  2 Ru 1.94-1.97
6 O 0.4351 0.1027 0.8096 [4 per cell]  2 Ru 1.91-2.01


Entry 12:
Compound: RbZn12Au6
Source: Alexandria via LeMat-Bulk
Functional: PBE
Structure: optimized geometry

## Properties
Formation energy from the elements: -0.1662 eV per atom
Size of the total moment: 0.000 μB/atom

Cell lengths 11.6683, 11.6683, 9.1898 Å; angles 90.00, 90.00, 120.00 degrees
Closest atoms and distances in Å follow each position.
Space group R-3m (No. 166, hexagonal axes)
Symmetry-distinct sites (fractional):
1 Rb 0.0000 0.0000 0.0000 [3 per cell]  6 Zn 3.43
2 Zn 0.0000 0.3881 0.5000 [18 per cell]  3 Zn 2.61-2.74, 4 Au 2.66-2.68
3 Zn 0.0971 0.1941 0.3057 [18 per cell]  4 Au 2.67-2.88, 3 Zn 2.74-2.86
4 Au 0.0577 0.5289 0.2538 [18 per cell]  8 Zn 2.66-2.88